## one
Compound: YScCd4
Source: Alexandria
Functional: GGA-PBE
Structure: optimized geometry

Calculated values
Space group: No. 47

a = 3.339 Å, b = 4.923 Å, c = 8.531 Å
α = 90.00°, β = 90.00°, γ = 90.00°
Fractional coordinates of all 6 atoms:
Y: 0.000 0.000 0.000
Sc: 0.000 0.500 0.500
Cd: 0.500 0.000 0.337
Cd: 0.500 0.000 0.663
Cd: 0.500 0.500 0.172
Cd: 0.500 0.500 0.828

=====

## two
Compound: YScCd4
Source: Alexandria
Functional: GGA-PBE
Structure: optimized geometry

Calculated values
Space group: No. 216

a = 5.829 Å, b = 5.829 Å, c = 5.829 Å
α = 60.00°, β = 60.00°, γ = 60.00°
Fractional coordinates of all 6 atoms:
Y: 0.000 0.000 0.000
Sc: 0.250 0.250 0.250
Cd: 0.125 0.625 0.625
Cd: 0.625 0.125 0.625
Cd: 0.625 0.625 0.125
Cd: 0.625 0.625 0.625

=====

Which one is most stable, and which one is least stable? one is the most stable of them, while two is the least stable.

=====

## one
Compound: Y4ScCd
Source: Alexandria
Functional: GGA-PBE
Structure: optimized geometry

Calculated values
Space group: No. 123

a = 3.564 Å, b = 3.564 Å, c = 13.780 Å
α = 90.00°, β = 90.00°, γ = 90.00°
Fractional coordinates of all 6 atoms:
Y: 0.000 0.000 0.150
Y: 0.000 0.000 0.850
Y: 0.500 0.500 0.335
Y: 0.500 0.500 0.665
Sc: 0.000 0.000 0.500
Cd: 0.500 0.500 0.000

=====

## two
Compound: Y4ScCd
Source: Alexandria
Functional: GGA-PBE
Structure: optimized geometry

Calculated values
Space group: No. 216

a = 6.363 Å, b = 6.363 Å, c = 6.363 Å
α = 60.00°, β = 60.00°, γ = 60.00°
Fractional coordinates of all 6 atoms:
Y: 0.376 0.376 0.376
Y: 0.376 0.376 0.873
Y: 0.376 0.873 0.376
Y: 0.873 0.376 0.376
Sc: 0.750 0.750 0.750
Cd: 0.000 0.000 0.000

=====

Which one is most stable, and which one is least stable? one is the most stable of them, while two is the least stable.

=====

## one
Compound: YSc3Cd
Source: Alexandria
Functional: GGA-PBE
Structure: optimized geometry

Calculated values
Space group: No. 221

a = 5.328 Å, b = 5.328 Å, c = 5.328 Å
α = 90.00°, β = 90.00°, γ = 90.00°
Fractional coordinates of all 5 atoms:
Y: 0.000 0.000 0.000
Sc: 0.000 0.500 0.500
Sc: 0.500 0.000 0.500
Sc: 0.500 0.500 0.000
Cd: 0.500 0.500 0.500

=====

## two
Compound: YSc3Cd
Source: Alexandria
Functional: GGA-PBE
Structure: optimized geometry

Calculated values
Space group: No. 11

a = 5.190 Å, b = 6.438 Å, c = 7.801 Å
α = 90.00°, β = 102.95°, γ = 90.00°
Fractional coordinates of all 10 atoms:
Y: 0.204 0.250 0.355
Y: 0.796 0.750 0.645
Sc: 0.228 0.750 0.432
Sc: 0.343 0.011 0.790
Sc: 0.343 0.489 0.790
Sc: 0.657 0.511 0.210
Sc: 0.657 0.989 0.210
Sc: 0.772 0.250 0.568
Cd: 0.083 0.750 0.051
Cd: 0.917 0.250 0.949

=====

Which one is most stable, and which one is least stable? two is the most stable of them, while one is the least stable.

=====

## one
Compound: Sc2ZnCd2
Source: Alexandria
Functional: GGA-PBE
Structure: optimized geometry

Calculated values
Space group: No. 72

a = 7.864 Å, b = 7.864 Å, c = 7.864 Å
α = 135.79°, β = 60.60°, γ = 140.73°
Fractional coordinates of all 10 atoms:
Sc: 0.180 0.160 0.340
Sc: 0.320 0.660 0.980
Sc: 0.680 0.340 0.020
Sc: 0.820 0.840 0.660
Zn: 0.250 0.250 0.000
Zn: 0.750 0.750 0.000
Cd: 0.097 0.644 0.741
Cd: 0.403 0.144 0.548
Cd: 0.597 0.856 0.452
Cd: 0.903 0.356 0.259

=====

## two
Compound: Sc2ZnCd2
Source: Alexandria
Functional: GGA-PBE
Structure: optimized geometry

Calculated values
Space group: No. 65

a = 3.127 Å, b = 21.604 Å, c = 3.161 Å
α = 90.00°, β = 90.00°, γ = 90.00°
Fractional coordinates of all 10 atoms:
Sc: 0.000 0.086 0.000
Sc: 0.000 0.914 0.000
Sc: 0.500 0.414 0.000
Sc: 0.500 0.586 0.000
Zn: 0.000 0.500 0.500
Zn: 0.500 0.000 0.500
Cd: 0.000 0.310 0.500
Cd: 0.000 0.690 0.500
Cd: 0.500 0.190 0.500
Cd: 0.500 0.810 0.500

=====

## three
Compound: Sc2ZnCd2
Source: Alexandria
Functional: GGA-PBE
Structure: optimized geometry

Calculated values
Space group: No. 127

a = 7.230 Å, b = 7.230 Å, c = 4.176 Å
α = 90.00°, β = 90.00°, γ = 90.00°
Fractional coordinates of all 10 atoms:
Sc: 0.165 0.335 0.000
Sc: 0.335 0.835 0.000
Sc: 0.665 0.165 0.000
Sc: 0.835 0.665 0.000
Zn: 0.000 0.000 0.500
Zn: 0.500 0.500 0.500
Cd: 0.139 0.639 0.500
Cd: 0.361 0.139 0.500
Cd: 0.639 0.861 0.500
Cd: 0.861 0.361 0.500

=====

Which one is most stable, and which one is least stable? two is the most stable of them, while three is the least stable.

=====

## one
Compound: Sc3ZnCd
Source: Alexandria
Functional: GGA-PBE
Structure: optimized geometry

Calculated values
Space group: No. 63

a = 9.551 Å, b = 9.551 Å, c = 4.828 Å
α = 90.00°, β = 90.00°, γ = 150.75°
Fractional coordinates of all 10 atoms:
Sc: 0.059 0.941 0.750
Sc: 0.250 0.750 0.750
Sc: 0.441 0.559 0.750
Sc: 0.559 0.441 0.250
Sc: 0.750 0.250 0.250
Sc: 0.941 0.059 0.250
Zn: 0.154 0.846 0.250
Zn: 0.846 0.154 0.750
Cd: 0.346 0.654 0.250
Cd: 0.654 0.346 0.750

=====

## two
Compound: Sc3ZnCd
Source: Alexandria
Functional: GGA-PBE
Structure: optimized geometry

Calculated values
Space group: No. 221

a = 5.058 Å, b = 5.058 Å, c = 5.058 Å
α = 90.00°, β = 90.00°, γ = 90.00°
Fractional coordinates of all 5 atoms:
Sc: 0.000 0.000 0.500
Sc: 0.000 0.500 0.000
Sc: 0.500 0.000 0.000
Zn: 0.000 0.000 0.000
Cd: 0.500 0.500 0.500

=====

Which one is most stable, and which one is least stable? one is the most stable of them, while two is the least stable.

=====

## one
Compound: Sc2Zn3Cd
Source: Alexandria
Functional: GGA-PBE
Structure: optimized geometry

Calculated values
Space group: No. 44

a = 3.414 Å, b = 4.199 Å, c = 16.808 Å
α = 90.00°, β = 90.00°, γ = 90.00°
Fractional coordinates of all 12 atoms:
Sc: 0.000 0.000 0.000
Sc: 0.000 0.500 0.213
Sc: 0.500 0.000 0.713
Sc: 0.500 0.500 0.500
Zn: 0.000 0.000 0.565
Zn: 0.000 0.500 0.641
Zn: 0.000 0.500 0.786
Zn: 0.500 0.000 0.141
Zn: 0.500 0.000 0.286
Zn: 0.500 0.500 0.065
Cd: 0.000 0.000 0.404
Cd: 0.500 0.500 0.904

=====

## two
Compound: Sc2Zn3Cd
Source: Alexandria
Functional: GGA-PBE
Structure: optimized geometry

Calculated values
Space group: No. 69

a = 8.995 Å, b = 8.421 Å, c = 5.517 Å
α = 77.29°, β = 65.96°, γ = 36.75°
Fractional coordinates of all 12 atoms:
Sc: 0.247 0.753 0.753
Sc: 0.250 0.250 0.250
Sc: 0.750 0.750 0.750
Sc: 0.753 0.247 0.247
Zn: 0.162 0.162 0.838
Zn: 0.162 0.675 0.325
Zn: 0.325 0.838 0.162
Zn: 0.675 0.162 0.838
Zn: 0.838 0.325 0.675
Zn: 0.838 0.838 0.162
Cd: 0.334 0.334 0.666
Cd: 0.666 0.666 0.334

=====

Which one is most stable, and which one is least stable? two is the most stable of them, while one is the least stable.

=====

## one
Compound: ZrScCd3
Source: Alexandria
Functional: GGA-PBE
Structure: optimized geometry

Calculated values
Space group: No. 74

a = 7.576 Å, b = 7.576 Å, c = 7.576 Å
α = 138.66°, β = 120.14°, γ = 75.35°
Fractional coordinates of all 10 atoms:
Zr: 0.000 0.000 0.000
Zr: 0.500 0.000 0.500
Sc: 0.276 0.526 0.750
Sc: 0.724 0.474 0.250
Cd: 0.117 0.685 0.432
Cd: 0.248 0.315 0.932
Cd: 0.500 0.000 0.000
Cd: 0.500 0.500 0.500
Cd: 0.752 0.685 0.068
Cd: 0.883 0.315 0.568

=====

## two
Compound: ZrScCd3
Source: Alexandria
Functional: GGA-PBE
Structure: optimized geometry

Calculated values
Space group: No. 63

a = 10.939 Å, b = 10.939 Å, c = 4.516 Å
α = 90.00°, β = 90.00°, γ = 156.13°
Fractional coordinates of all 10 atoms:
Zr: 0.149 0.851 0.750
Zr: 0.851 0.149 0.250
Sc: 0.350 0.650 0.750
Sc: 0.650 0.350 0.250
Cd: 0.049 0.951 0.250
Cd: 0.250 0.750 0.250
Cd: 0.449 0.551 0.250
Cd: 0.551 0.449 0.750
Cd: 0.750 0.250 0.750
Cd: 0.951 0.049 0.750

=====

Which one is most stable, and which one is least stable? two is the most stable of them, while one is the least stable.

=====

## one
Compound: Zr2ScCd2
Source: Alexandria
Functional: GGA-PBE
Structure: optimized geometry

Calculated values
Space group: No. 127

a = 8.118 Å, b = 8.118 Å, c = 3.510 Å
α = 90.00°, β = 90.00°, γ = 90.00°
Fractional coordinates of all 10 atoms:
Zr: 0.171 0.329 0.000
Zr: 0.329 0.829 0.000
Zr: 0.671 0.171 0.000
Zr: 0.829 0.671 0.000
Sc: 0.000 0.000 0.500
Sc: 0.500 0.500 0.500
Cd: 0.128 0.628 0.500
Cd: 0.372 0.128 0.500
Cd: 0.628 0.872 0.500
Cd: 0.872 0.372 0.500

=====

## two
Compound: Zr2ScCd2
Source: Alexandria
Functional: GGA-PBE
Structure: optimized geometry

Calculated values
Space group: No. 127

a = 8.736 Å, b = 8.736 Å, c = 3.066 Å
α = 90.00°, β = 90.00°, γ = 90.00°
Fractional coordinates of all 10 atoms:
Zr: 0.119 0.381 0.000
Zr: 0.381 0.881 0.000
Zr: 0.619 0.119 0.000
Zr: 0.881 0.619 0.000
Sc: 0.000 0.000 0.000
Sc: 0.500 0.500 0.000
Cd: 0.177 0.677 0.500
Cd: 0.323 0.177 0.500
Cd: 0.677 0.823 0.500
Cd: 0.823 0.323 0.500

=====

Which one is most stable, and which one is least stable? one is the most stable of them, while two is the least stable.

=====

## one
Compound: ZrScCd4
Source: Alexandria
Functional: GGA-PBE
Structure: optimized geometry

Calculated values
Space group: No. 12

a = 13.042 Å, b = 3.244 Å, c = 6.351 Å
α = 90.00°, β = 103.95°, γ = 90.00°
Fractional coordinates of all 12 atoms:
Zr: 0.000 0.000 0.000
Zr: 0.500 0.500 0.000
Sc: 0.000 0.000 0.500
Sc: 0.500 0.500 0.500
Cd: 0.167 0.500 0.334
Cd: 0.168 0.500 0.833
Cd: 0.332 0.000 0.167
Cd: 0.333 0.000 0.666
Cd: 0.667 0.000 0.334
Cd: 0.668 0.000 0.833
Cd: 0.832 0.500 0.167
Cd: 0.833 0.500 0.666

=====

## two
Compound: ZrScCd4
Source: Alexandria
Functional: GGA-PBE
Structure: optimized geometry

Calculated values
Space group: No. 216

a = 5.710 Å, b = 5.710 Å, c = 5.710 Å
α = 60.00°, β = 60.00°, γ = 60.00°
Fractional coordinates of all 6 atoms:
Zr: 0.000 0.000 0.000
Sc: 0.250 0.250 0.250
Cd: 0.125 0.625 0.625
Cd: 0.625 0.125 0.625
Cd: 0.625 0.625 0.125
Cd: 0.625 0.625 0.625

=====

Which one is most stable, and which one is least stable? one is the most stable of them, while two is the least stable.

=====

## one
Compound: ZrSc2Cd4
Source: Alexandria
Functional: GGA-PBE
Structure: optimized geometry

Calculated values
Space group: No. 65

a = 4.868 Å, b = 20.983 Å, c = 3.043 Å
α = 90.00°, β = 90.00°, γ = 90.00°
Fractional coordinates of all 14 atoms:
Zr: 0.000 0.000 0.000
Zr: 0.500 0.500 0.000
Sc: 0.000 0.289 0.500
Sc: 0.000 0.711 0.500
Sc: 0.500 0.211 0.500
Sc: 0.500 0.789 0.500
Cd: 0.000 0.153 0.000
Cd: 0.000 0.430 0.500
Cd: 0.000 0.570 0.500
Cd: 0.000 0.847 0.000
Cd: 0.500 0.070 0.500
Cd: 0.500 0.347 0.000
Cd: 0.500 0.653 0.000
Cd: 0.500 0.930 0.500

=====

## two
Compound: ZrSc2Cd4
Source: Alexandria
Functional: GGA-PBE
Structure: optimized geometry

Calculated values
Space group: No. 65

a = 8.535 Å, b = 9.010 Å, c = 4.393 Å
α = 90.00°, β = 90.00°, γ = 90.00°
Fractional coordinates of all 14 atoms:
Zr: 0.000 0.000 0.000
Zr: 0.500 0.500 0.000
Sc: 0.222 0.500 0.500
Sc: 0.278 0.000 0.500
Sc: 0.722 0.000 0.500
Sc: 0.778 0.500 0.500
Cd: 0.000 0.233 0.500
Cd: 0.000 0.767 0.500
Cd: 0.250 0.250 0.000
Cd: 0.250 0.750 0.000
Cd: 0.500 0.267 0.500
Cd: 0.500 0.733 0.500
Cd: 0.750 0.250 0.000
Cd: 0.750 0.750 0.000

=====

Which one is most stable, and which one is least stable? two is the most stable of them, while one is the least stable.

=====

## one
Compound: ZrScCd
Source: Alexandria
Functional: GGA-PBE
Structure: optimized geometry

Calculated values
Space group: No. 69

a = 7.095 Å, b = 6.201 Å, c = 5.280 Å
α = 75.86°, β = 57.95°, γ = 46.19°
Fractional coordinates of all 6 atoms:
Zr: 0.164 0.836 0.164
Zr: 0.836 0.164 0.836
Sc: 0.372 0.372 0.628
Sc: 0.628 0.628 0.372
Cd: 0.250 0.250 0.250
Cd: 0.750 0.750 0.750

=====

## two
Compound: ZrScCd
Source: Alexandria
Functional: GGA-PBE
Structure: optimized geometry

Calculated values
Space group: No. 107

a = 3.248 Å, b = 3.248 Å, c = 12.887 Å
α = 90.00°, β = 90.00°, γ = 90.00°
Fractional coordinates of all 6 atoms:
Zr: 0.000 0.000 0.000
Zr: 0.500 0.500 0.500
Sc: 0.000 0.000 0.665
Sc: 0.500 0.500 0.165
Cd: 0.000 0.000 0.331
Cd: 0.500 0.500 0.831

=====

## three
Compound: ZrScCd
Source: Alexandria
Functional: GGA-PBE
Structure: optimized geometry

Calculated values
Space group: No. 11

a = 3.203 Å, b = 3.200 Å, c = 13.751 Å
α = 90.00°, β = 96.58°, γ = 90.00°
Fractional coordinates of all 6 atoms:
Zr: 0.206 0.250 0.416
Zr: 0.794 0.750 0.584
Sc: 0.373 0.250 0.747
Sc: 0.627 0.750 0.253
Cd: 0.047 0.250 0.093
Cd: 0.953 0.750 0.907

=====

## four
Compound: ZrScCd
Source: Alexandria
Functional: GGA-PBE
Structure: optimized geometry

Calculated values
Space group: No. 156

a = 3.220 Å, b = 3.220 Å, c = 7.752 Å
α = 90.00°, β = 90.00°, γ = 120.00°
Fractional coordinates of all 3 atoms:
Zr: 0.000 0.000 0.000
Sc: 0.333 0.667 0.675
Cd: 0.667 0.333 0.340

=====

Which one is most stable, and which one is least stable? two is the most stable of them, while one is the least stable.